# ZnFeSb2 PBEsol relaxed
# Energy relative to the elements, uncorrected   19.4 kJ per mole of atoms
# E   -4.7135 eV per atom
data_ZnFeSb2
_chemical_formula_sum 'Zn1 Fe1 Sb2'
_cell_length_a 3.113
_cell_length_b 3.113
_cell_length_c 7.747
_cell_angle_alpha 90.00
_cell_angle_beta 90.00
_cell_angle_gamma 90.00
_symmetry_space_group_name_H-M 'P 4/m m m'
_symmetry_Int_Tables_number 123
_symmetry_space_group_name_Hall '-P 4 2'
loop_
_atom_site_label
_atom_site_fract_x
_atom_site_fract_y
_atom_site_fract_z
Zn1 0.000 0.000 0.000
Fe1 0.000 0.000 0.500
Sb1 0.500 0.500 0.296

---

# ZnFeSb2 PBEsol relaxed
# Energy relative to the elements, uncorrected   39.7 kJ per mole of atoms
# E   -4.5033 eV per atom
data_ZnFeSb2
_chemical_formula_sum 'Zn2 Fe2 Sb4'
_cell_length_a 6.073
_cell_length_b 7.371
_cell_length_c 3.359
_cell_angle_alpha 90.00
_cell_angle_beta 90.00
_cell_angle_gamma 90.00
_symmetry_space_group_name_H-M 'C m m m'
_symmetry_Int_Tables_number 65
_symmetry_space_group_name_Hall '-C 2 2'
loop_
_atom_site_label
_atom_site_fract_x
_atom_site_fract_y
_atom_site_fract_z
Zn1 0.000 0.000 0.000
Fe1 0.000 0.500 0.000
Sb1 0.250 0.250 0.500

---

# ZnFe6Sb PBEsol relaxed
# Energy relative to the elements, uncorrected   7.6 kJ per mole of atoms
# E   -7.4116 eV per atom
data_ZnFe6Sb
_chemical_formula_sum 'Zn8 Fe48 Sb8'
_cell_length_a 7.311
_cell_length_b 10.363
_cell_length_c 10.371
_cell_angle_alpha 90.00
_cell_angle_beta 90.00
_cell_angle_gamma 90.00
_symmetry_space_group_name_H-M 'C m m m'
_symmetry_Int_Tables_number 65
_symmetry_space_group_name_Hall '-C 2 2'
loop_
_atom_site_label
_atom_site_fract_x
_atom_site_fract_y
_atom_site_fract_z
Zn1 0.000 0.000 0.245
Zn2 0.000 0.252 0.000
Fe1 0.000 0.000 0.000
Fe2 0.000 0.000 0.500
Fe3 0.000 0.245 0.244
Fe4 0.000 0.500 0.000
Fe5 0.000 0.500 0.500
Fe6 0.243 0.122 0.371
Fe7 0.244 0.127 0.121
Sb1 0.000 0.253 0.500
Sb2 0.000 0.500 0.246

---

# ZnFeSb3 PBEsol relaxed
# Energy relative to the elements, uncorrected   106.7 kJ per mole of atoms
# E   -3.7378 eV per atom
data_ZnFeSb3
_chemical_formula_sum 'Zn1 Fe1 Sb3'
_cell_length_a 5.080
_cell_length_b 5.080
_cell_length_c 5.080
_cell_angle_alpha 90.00
_cell_angle_beta 90.00
_cell_angle_gamma 90.00
_symmetry_space_group_name_H-M 'P m -3 m'
_symmetry_Int_Tables_number 221
_symmetry_space_group_name_Hall '-P 4 2 3'
loop_
_atom_site_label
_atom_site_fract_x
_atom_site_fract_y
_atom_site_fract_z
Zn1 0.000 0.000 0.000
Fe1 0.500 0.500 0.500
Sb1 0.000 0.000 0.500

---

# Zn3FeSb PBEsol relaxed
# Energy relative to the elements, uncorrected   56.1 kJ per mole of atoms
# E   -3.0715 eV per atom
data_Zn3FeSb
_chemical_formula_sum 'Zn3 Fe1 Sb1'
_cell_length_a 4.561
_cell_length_b 4.561
_cell_length_c 4.561
_cell_angle_alpha 90.00
_cell_angle_beta 90.00
_cell_angle_gamma 90.00
_symmetry_space_group_name_H-M 'P m -3 m'
_symmetry_Int_Tables_number 221
_symmetry_space_group_name_Hall '-P 4 2 3'
loop_
_atom_site_label
_atom_site_fract_x
_atom_site_fract_y
_atom_site_fract_z
Zn1 0.000 0.000 0.500
Fe1 0.000 0.000 0.000
Sb1 0.500 0.500 0.500

---

# Zr5FeSb3 PBEsol relaxed
# Energy relative to the elements, uncorrected   -66.4 kJ per mole of atoms
# E   -8.2528 eV per atom
data_Zr5FeSb3
_chemical_formula_sum 'Zr10 Fe2 Sb6'
_cell_length_a 8.5438
_cell_length_b 8.5438
_cell_length_c 5.7173
_cell_angle_alpha 90.00
_cell_angle_beta 90.00
_cell_angle_gamma 120.00
_symmetry_space_group_name_H-M 'P 63/m c m'
_symmetry_Int_Tables_number 193
_symmetry_space_group_name_Hall '-P 6c 2'
loop_
_atom_site_label
_atom_site_fract_x
_atom_site_fract_y
_atom_site_fract_z
Zr1 0.0000 0.2517 0.2500
Zr2 0.3333 0.6667 0.0000
Fe1 0.0000 0.0000 0.0000
Sb1 0.0000 0.3919 0.7500

---

# ZrFe2Sb PBEsol relaxed
# Energy relative to the elements, uncorrected   18.2 kJ per mole of atoms
# E   -7.7052 eV per atom
data_ZrFe2Sb
_chemical_formula_sum 'Zr2 Fe4 Sb2'
_cell_length_a 5.658
_cell_length_b 8.610
_cell_length_c 2.971
_cell_angle_alpha 90.00
_cell_angle_beta 116.24
_cell_angle_gamma 90.00
_symmetry_space_group_name_H-M 'C 1 2/m 1'
_symmetry_Int_Tables_number 12
_symmetry_space_group_name_Hall '-C 2y'
loop_
_atom_site_label
_atom_site_fract_x
_atom_site_fract_y
_atom_site_fract_z
Zr1 0.000 0.000 0.000
Fe1 0.250 0.250 0.500
Sb1 0.000 0.500 0.000

---

# ZrFeSb2 PBEsol relaxed
# Energy relative to the elements, uncorrected   -0.6 kJ per mole of atoms
# Excess energy over the best structure of this formula in the dataset   0.088 eV/atom
# E   -6.7987 eV per atom
data_ZrFeSb2
_chemical_formula_sum 'Zr3 Fe3 Sb6'
_cell_length_a 3.2609
_cell_length_b 3.2609
_cell_length_c 25.6537
_cell_angle_alpha 90.00
_cell_angle_beta 90.00
_cell_angle_gamma 120.00
_symmetry_space_group_name_H-M 'R -3 m'
_symmetry_Int_Tables_number 166
_symmetry_space_group_name_Hall '-R 3 2"'
loop_
_atom_site_label
_atom_site_fract_x
_atom_site_fract_y
_atom_site_fract_z
Zr1 0.0000 0.0000 0.0000
Fe1 0.0000 0.0000 0.5000
Sb1 0.0000 0.0000 0.2387